Record 1
The following is a DFT calculation (PBE with a Hubbard U) of a relaxed ScMnO2 crystal.

abc: 4.8345 4.8345 9.7774
angles: 90.00 90.00 90.00
Space group I-42d (No. 122)
Inequivalent atoms, fractional coordinates:
Sc (0.0000, 0.0000, 0.0000) (multiplicity 4)
Mn (0.0000, 0.0000, 0.5000) (multiplicity 4)
O (0.2341, 0.2500, 0.1250) (multiplicity 8)

Summary:
Calculated total energy (hartree per atom): -0.2992
Crystal system: tetragonal
Density (g/cm3): 3.83
Spin magnetization (μB/cell): 16.89


Record 2
The following is a DFT calculation (PBE with a Hubbard U) of a relaxed Sc2Mn2O7 crystal.

abc: 9.7143 9.7143 9.7143
angles: 90.00 90.00 90.00
Space group Fd-3m (No. 227, origin choice 2)
Inequivalent atoms, fractional coordinates:
Sc (0.0000, 0.0000, 0.0000) (multiplicity 16)
Mn (0.0000, 0.0000, 0.5000) (multiplicity 16)
O (0.0871, 0.3750, 0.8750) (multiplicity 48)
O (0.1250, 0.1250, 0.1250) (multiplicity 8)

Summary:
Calculated total energy (hartree per atom): -0.2947
Crystal system: cubic
Density (g/cm3): 4.52
Spin magnetization (μB/cell): 47.87


Record 3
The following is a DFT calculation (PBE with a Hubbard U) of a relaxed ScMn2O5 crystal.

abc: 3.9835 9.8053 9.8849
angles: 90.00 90.00 90.00
Space group Cmcm (No. 63)
Inequivalent atoms, fractional coordinates:
Sc (0.0000, 0.2031, 0.2500) (multiplicity 4)
Mn (0.0000, 0.1378, 0.5564) (multiplicity 8)
O (0.0000, 0.0475, 0.1153) (multiplicity 8)
O (0.0000, 0.2200, 0.7500) (multiplicity 4)
O (0.0000, 0.3113, 0.0545) (multiplicity 8)

Summary:
Calculated total energy (hartree per atom): -0.2880
Crystal system: orthorhombic
Density (g/cm3): 4.04
Spin magnetization (μB/cell): 28.00


Record 4
The following is a DFT calculation (PBE with a Hubbard U) of a relaxed ScMn2O4 crystal.

abc: 11.1475 3.0285 4.9765
angles: 90.00 116.14 90.00
Space group C2/m (No. 12)
Inequivalent atoms, fractional coordinates:
Sc (0.0000, 0.0000, 0.0000) (multiplicity 2)
Mn (0.2338, 0.5000, 0.7286) (multiplicity 4)
O (0.1367, 0.5000, 0.9884) (multiplicity 4)
O (0.1390, 0.0000, 0.4597) (multiplicity 4)

Summary:
Calculated total energy (hartree per atom): -0.2748
Crystal system: monoclinic
Density (g/cm3): 4.82
Spin magnetization (μB/cell): 6.00